A relaxed Dy4MgZn2Pt crystal. Source: the Alexandria database, functional PBE-GGA.

Calculated values
formation enthalpy at 0 K: -0.53 eV per atom
E: -4.10 eV/atom

a b c (Å): 5.0773 5.0773 24.9439
angles (deg): 90.00 90.00 120.00
Space group R-3m (No. 166, hexagonal axes)
Unique sites:
Dy 0.0000 0.0000 0.1157 x6
Dy 0.0000 0.0000 0.3691 x6
Mg 0.0000 0.0000 0.5000 x3
Zn 0.0000 0.0000 0.2369 x6
Pt 0.0000 0.0000 0.0000 x3

---

A relaxed Cu2HgMo crystal. Source: the Alexandria database, functional PBE-GGA.

Calculated values
formation enthalpy at 0 K: 0.53 eV per atom
E: -4.30 eV/atom

a b c (Å): 4.068 4.068 3.726
angles (deg): 90.00 90.00 90.00
Space group P4/mmm (No. 123)
Unique sites:
Cu 0.000 0.500 0.000 x2
Hg 0.000 0.000 0.500 x1
Mo 0.500 0.500 0.500 x1

---

A relaxed Nd8SmHo6 crystal. Source: the Alexandria database, functional PBE-GGA.

Calculated values
formation enthalpy at 0 K: 0.16 eV per atom
E: -4.53 eV/atom
offset from the most stable computed form: 0.000 eV per atom

a b c (Å): 9.3005 9.3005 20.3725
angles (deg): 90.00 90.00 120.00
Space group R-3 (No. 148, hexagonal axes)
Unique sites:
Nd 0.0000 0.0000 0.0734 x6
Nd 0.0685 0.8240 0.6588 x18
Sm 0.0000 0.0000 0.5000 x3
Ho 0.0467 0.8011 0.1932 x18

---

A relaxed Ho3Pb2Au crystal. Source: the Alexandria database, functional PBE-GGA.

Calculated values
formation enthalpy at 0 K: -0.54 eV per atom
E: -4.61 eV/atom

a b c (Å): 12.368 4.580 11.743
angles (deg): 90.00 90.00 90.00
Space group Pnma (No. 62)
Unique sites:
Ho 0.049 0.250 0.128 x4
Ho 0.131 0.750 0.557 x4
Ho 0.227 0.250 0.801 x4
Pb 0.004 0.250 0.687 x4
Pb 0.181 0.750 0.015 x4
Au 0.136 0.250 0.360 x4